# PBE NpAl2CdAu4, optimized geometry
data_NpAl2CdAu4
_chemical_formula_sum 'Np3 Al6 Cd3 Au12'
_symmetry_space_group_name_H-M 'R -3 m'
_symmetry_Int_Tables_number 166
_symmetry_space_group_name_Hall '-R 3 2"'
_cell_length_a 4.4220
_cell_length_b 4.4220
_cell_length_c 28.5472
_cell_angle_alpha 90.00
_cell_angle_beta 90.00
_cell_angle_gamma 120.00
loop_
_atom_site_label
_atom_site_fract_x
_atom_site_fract_y
_atom_site_fract_z
_atom_site_occupancy
Np1 0.0000 0.0000 0.0000 1
Al1 0.0000 0.0000 0.2478 1
Cd1 0.0000 0.0000 0.5000 1
Au1 0.0000 0.0000 0.1172 1
Au2 0.0000 0.0000 0.3922 1
# - E (eV per formula unit) = -36.329



# PBE AlCd2AuO, optimized geometry
data_AlCd2AuO
_chemical_formula_sum 'Al1 Cd2 Au1 O1'
_symmetry_space_group_name_H-M 'P 4/m m m'
_symmetry_Int_Tables_number 123
_symmetry_space_group_name_Hall '-P 4 2'
_cell_length_a 5.118
_cell_length_b 5.118
_cell_length_c 3.461
_cell_angle_alpha 90.00
_cell_angle_beta 90.00
_cell_angle_gamma 90.00
loop_
_atom_site_label
_atom_site_fract_x
_atom_site_fract_y
_atom_site_fract_z
_atom_site_occupancy
Al1 0.000 0.000 0.000 1
Cd1 0.000 0.500 0.500 1
Au1 0.500 0.500 0.000 1
O1 0.000 0.000 0.500 1
# - formation energy (no corrections) (eV per atom) = -0.4598
# - E (eV per formula unit) = -16.107



# PBE PaAlCdAu, optimized geometry
data_PaAlCdAu
_chemical_formula_sum 'Pa4 Al4 Cd4 Au4'
_symmetry_space_group_name_H-M 'F -4 3 m'
_symmetry_Int_Tables_number 216
_symmetry_space_group_name_Hall 'F -4 2 3'
_cell_length_a 7.002
_cell_length_b 7.002
_cell_length_c 7.002
_cell_angle_alpha 90.00
_cell_angle_beta 90.00
_cell_angle_gamma 90.00
loop_
_atom_site_label
_atom_site_fract_x
_atom_site_fract_y
_atom_site_fract_z
_atom_site_occupancy
Pa1 0.000 0.000 0.000 1
Al1 0.000 0.000 0.500 1
Cd1 0.250 0.250 0.250 1
Au1 0.250 0.250 0.750 1
# - E (eV per formula unit) = -17.870



# PBE AlCdPdAu, optimized geometry
data_AlCdPdAu
_chemical_formula_sum 'Al1 Cd1 Pd1 Au1'
_symmetry_space_group_name_H-M 'P 4 m m'
_symmetry_Int_Tables_number 99
_cell_length_a 3.119
_cell_length_b 3.119
_cell_length_c 6.988
_cell_angle_alpha 90.00
_cell_angle_beta 90.00
_cell_angle_gamma 90.00
loop_
_symmetry_equiv_pos_as_xyz
'x,y,z'
'-y,x,z'
'-x,-y,z'
'y,-x,z'
'-x,y,z'
'y,x,z'
'x,-y,z'
'-y,-x,z'
loop_
_atom_site_label
_atom_site_fract_x
_atom_site_fract_y
_atom_site_fract_z
_atom_site_occupancy
Al1 0.000 0.000 0.000 1
Cd1 0.000 0.000 0.527 1
Pd1 0.500 0.500 0.805 1
Au1 0.500 0.500 0.231 1
# - polymorph energy (0 for the lowest one) (meV/atom) = 0
# - E (eV per formula unit) = -15.119



# PBE AlCdPdAu, optimized geometry
data_AlCdPdAu
_chemical_formula_sum 'Al4 Cd4 Pd4 Au4'
_symmetry_space_group_name_H-M 'F -4 3 m'
_symmetry_Int_Tables_number 216
_symmetry_space_group_name_Hall 'F -4 2 3'
_cell_length_a 6.478
_cell_length_b 6.478
_cell_length_c 6.478
_cell_angle_alpha 90.00
_cell_angle_beta 90.00
_cell_angle_gamma 90.00
loop_
_atom_site_label
_atom_site_fract_x
_atom_site_fract_y
_atom_site_fract_z
_atom_site_occupancy
Al1 0.000 0.000 0.000 1
Cd1 0.000 0.000 0.500 1
Pd1 0.250 0.250 0.750 1
Au1 0.250 0.250 0.250 1
# - polymorph energy (0 for the lowest one) (meV/atom) = 109
# - E (eV per formula unit) = -14.685



# PBE Al2Cd2Pd5Au, optimized geometry
data_Al2Cd2Pd5Au
_chemical_formula_sum 'Al4 Cd4 Pd10 Au2'
_symmetry_space_group_name_H-M 'P 4/m b m'
_symmetry_Int_Tables_number 127
_symmetry_space_group_name_Hall '-P 4 2ab'
_cell_length_a 9.530
_cell_length_b 9.530
_cell_length_c 3.731
_cell_angle_alpha 90.00
_cell_angle_beta 90.00
_cell_angle_gamma 90.00
loop_
_atom_site_label
_atom_site_fract_x
_atom_site_fract_y
_atom_site_fract_z
_atom_site_occupancy
Al1 0.127 0.373 0.000 1
Cd1 0.172 0.672 0.000 1
Pd1 0.000 0.500 0.500 1
Pd2 0.078 0.205 0.500 1
Au1 0.000 0.000 0.000 1
# - E (eV per formula unit) = -43.137



> E of number 6 (Al2Cd2Pd5Au)?

-43.137 eV per formula unit



> E of number 4 (AlCdPdAu)?

-15.119 eV per formula unit



> The lowest E belongs to which entry?

Al2Cd2Pd5Au